1.
## TcRuPt (GGA-PBEsol)

Data for an optimized crystal structure of TcRuPt.

Values from the calculation:
The space group is F-43m (216). As for the formation energy: 0.563 eV per atom. The volume comes out at 16.5 A^3/atom. For the calculated total energy, the calculation gives -0.6545 Ry per atom. The polymorph energy (0 for the lowest one) comes out at 666 meV/atom.

```
TcRuPt
1.0
-2.7604 1.0023 -2.8974
-4.0274 -0.0176 0.8939
-2.0695 3.5589 0.2658
Tc Ru Pt
1 1 1
Direct
0.2500 0.2500 0.2500 Tc
0.5000 0.5000 0.5000 Ru
0.0000 0.0000 0.0000 Pt
```

2.
## Co2SiPb (GGA-PBEsol)

Data for an optimized crystal structure of Co2SiPb.

Values from the calculation:
The space group is C2/m (12). The calculation puts the formation energy from raw total energies at 0.11 eV/f.u. The volume comes out at 14.7 A^3/atom. For the calculated total energy, the calculation gives -0.4613 Ry per atom. The polymorph energy (0 for the lowest one) comes out at 5 meV/atom.

```
Co2SiPb
1.0
-2.4903 1.7549 -2.1523
2.0039 -2.8194 -1.3851
-3.9548 -1.8896 3.0350
Co Pb Si
2 1 1
Direct
0.2139 0.4277 0.1445 Co
0.7861 0.5723 0.8555 Co
0.0000 0.0000 0.5000 Pb
0.5000 0.0000 0.0000 Si
```

3.
## Ru5Rh (GGA-PBEsol)

Data for an optimized crystal structure of Ru5Rh.

Values from the calculation:
The space group is Cm (8). As for the formation energy: 0.001 eV per atom. The volume comes out at 13.3 A^3/atom. For the calculated total energy, the calculation gives -0.7227 Ry per atom. The polymorph energy (0 for the lowest one) comes out at 5 meV/atom.

```
Ru5Rh
1.0
2.6861 0.0000 0.0000
-1.3430 4.8495 -0.0046
0.0000 -1.4958 6.1267
Ru Rh
5 1
Direct
0.6674 0.3348 0.3361 Ru
0.7233 0.4467 0.9438 Ru
0.0557 0.1113 0.6104 Ru
0.3877 0.7754 0.2790 Ru
0.3323 0.6647 0.6638 Ru
0.0003 0.0005 0.0003 Rh
```

4.
## BaTe2P (GGA-PBEsol)

Data for an optimized crystal structure of BaTe2P.

Values from the calculation:
The space group is P4/mmm (123). The calculation puts the formation energy from raw total energies at -1.59 eV/f.u. The volume comes out at 27.6 A^3/atom. For the calculated total energy, the calculation gives -0.3048 Ry per atom.

```
BaTe2P
1.0
4.7295 0.0000 0.0000
0.0000 4.7295 0.0000
0.0000 0.0000 4.9408
P Ba Te
1 1 2
Direct
0.0000 0.0000 0.5000 P
0.5000 0.5000 0.5000 Ba
0.5000 0.0000 0.0000 Te
0.0000 0.5000 0.0000 Te
```

5.
## SrTlW (GGA-PBEsol)

Data for an optimized crystal structure of SrTlW.

Values from the calculation:
The space group is I4mm (107). As for the formation energy: 0.832 eV per atom. The volume comes out at 22.5 A^3/atom. For the calculated total energy, the calculation gives -0.3867 Ry per atom. The polymorph energy (0 for the lowest one) comes out at 0 meV/atom.

```
SrTlW
1.0
2.9999 0.0000 0.0000
0.0000 2.9999 0.0000
-1.5000 -1.5000 7.5074
Tl Sr W
1 1 1
Direct
0.6788 0.6788 0.3577 Tl
0.9954 0.9954 0.9909 Sr
0.3257 0.3257 0.6515 W
```

6.
## LaScCr4 (GGA-PBEsol)

Data for an optimized crystal structure of LaScCr4.

Values from the calculation:
The space group is F-43m (216). As for the formation energy: 0.394 eV per atom. The volume comes out at 15.3 A^3/atom. For the calculated total energy, the calculation gives -0.6193 Ry per atom.

```
LaScCr4
1.0
5.0663 0.0000 0.0000
2.5331 4.3875 0.0000
2.5331 1.4625 4.1366
Cr La Sc
4 1 1
Direct
0.3750 0.3750 0.3750 Cr
0.3750 0.3750 0.8749 Cr
0.3750 0.8749 0.3750 Cr
0.8749 0.3750 0.3750 Cr
0.7500 0.7500 0.7500 La
0.0000 0.0000 0.0000 Sc
```

7.
## KHgPb2 (GGA-PBEsol)

Data for an optimized crystal structure of KHgPb2.

Values from the calculation:
The space group is C2/m (12). As for the formation energy: -0.097 eV per atom. The volume comes out at 30.3 A^3/atom. For the calculated total energy, the calculation gives -0.1853 Ry per atom.

```
KHgPb2
1.0
3.6245 0.0000 0.0000
0.0000 5.7543 -0.0260
-1.8122 -2.8357 5.8156
Hg K Pb
1 1 2
Direct
0.0000 0.5000 0.0000 Hg
0.5000 0.0000 0.0000 K
0.2830 0.2835 0.5660 Pb
0.7170 0.7165 0.4340 Pb
```

8.
## SrCd2W (GGA-PBEsol)

Data for an optimized crystal structure of SrCd2W.

Values from the calculation:
The space group is Fm-3m (225). As for the formation energy: 0.784 eV per atom. The volume comes out at 22.8 A^3/atom. For the calculated total energy, the calculation gives -0.2739 Ry per atom. The polymorph energy (0 for the lowest one) comes out at 262 meV/atom.

```
SrCd2W
1.0
5.0493 0.0000 0.0000
2.5247 4.3728 0.0000
2.5247 1.4576 4.1227
Sr Cd W
1 2 1
Direct
0.0000 0.0000 0.0000 Sr
0.2500 0.2500 0.2500 Cd
0.7500 0.7500 0.7500 Cd
0.5000 0.5000 0.5000 W
```